The following is a DFT calculation (PBE) of an optimized crystal structure of Nd3Sm2YBi6.

Unit cell a=4.574 b=9.141 c=10.220 alpha=102.86 beta=102.93 gamma=90.00
Atoms (fractional coordinates):
Nd: 0.167 0.833 0.335
Nd: 0.500 0.500 0.000
Nd: 0.833 0.167 0.665
Sm: 0.834 0.667 0.668
Sm: 0.166 0.333 0.332
Bi: 0.332 0.419 0.665
Bi: 0.000 0.245 0.001
Bi: 0.000 0.755 0.999
Bi: 0.335 0.916 0.671
Bi: 0.668 0.581 0.335
Bi: 0.665 0.084 0.329
Y: 0.500 0.000 0.000

- final energy (eV per atom) = -5.390
- magnetic moment (μB/atom) = 0.00